Model 1:
! CoRePt2, single point on PBEsol structure, DFT meta-GGA SCAN; values from VASP
! Calculated volume   54.6 Å³/f.u.
&SYSTEM
  ibrav = 0, nat = 4, ntyp = 3
/
ATOMIC_SPECIES
Pt 195.08 Pt.upf
Co 58.93 Co.upf
Re 186.21 Re.upf
CELL_PARAMETERS angstrom
2.696 0.000 0.000
0.000 2.696 0.000
0.000 0.000 7.513
ATOMIC_POSITIONS angstrom
Pt 0.000 0.000 7.366
Pt 1.348 1.348 1.955
Co 1.348 1.348 5.550
Re 0.000 0.000 3.911


Model 2:
! CoRePt2, single point on PBEsol structure, DFT meta-GGA SCAN; values from VASP
! Calculated volume   54.3 Å³/f.u.
&SYSTEM
  ibrav = 0, nat = 4, ntyp = 3
/
ATOMIC_SPECIES
Re 186.21 Re.upf
Co 58.93 Co.upf
Pt 195.08 Pt.upf
CELL_PARAMETERS angstrom
-1.236 -1.727 3.121
-2.411 -2.030 -2.078
4.479 -0.823 -0.964
ATOMIC_POSITIONS angstrom
Re -1.823 -1.878 0.521
Co 0.123 -2.365 -1.260
Pt 0.000 0.000 0.000
Pt 0.710 -2.214 1.339


Here is how they stack up, most stable first: model 1, model 2.